(1)
VASP calculation (PBE) on Zn2GaH2 after structural relaxation.

Calculated values
polymorph energy (0 for the lowest one) = 0.00 eV/f.u.

abc: 2.9082 2.9082 7.0750
angles: 78.14 78.14 90.00
Last column: nearest neighbours and their distance in Å.
Element x y z (fractional)
H 0.7500 0.2500 0.5000  4 Zn 1.97, 4 H 2.06
H 0.2500 0.7500 0.5000  4 Zn 1.97, 4 H 2.06
Zn 0.3479 0.3479 0.3042  4 H 1.97
Zn 0.6521 0.6521 0.6958  4 H 1.97
Ga 0.0000 0.0000 0.0000  4 Ga 2.91, 8 Zn 2.91

=====

(2)
VASP calculation (PBE) on Zn3GaH after structural relaxation.

Calculated values
polymorph energy (0 for the lowest one) = 0.00 eV/f.u.

abc: 4.0982 4.0982 4.0982
angles: 90.00 90.00 90.00
Last column: nearest neighbours and their distance in Å.
Element x y z (fractional)
H 0.0000 0.0000 0.0000  6 Zn 2.05
Zn 0.0000 0.5000 0.0000  2 H 2.05
Zn 0.0000 0.0000 0.5000  2 H 2.05
Zn 0.5000 0.0000 0.0000  2 H 2.05
Ga 0.5000 0.5000 0.5000  12 Zn 2.90